Entry 1:
CrRu2Rh | Alexandria via LeMat-Bulk | PBE | relaxed; calculated density = 10.91 Mg/m³; space-group type = No. 8; energy of formation from the pure elements = 52 meV per atom
1.0
4.638 -0.004 -0.011
3.857 2.575 -0.011
0.818 0.248 4.544
Cr Ru Rh
1 2 1
direct
0.499 0.499 0.501 Cr
0.752 0.752 0.752 Ru
0.001 0.001 0.989 Ru
0.247 0.247 0.258 Rh

---

Entry 2:
Cr2RuRh2 | Alexandria via LeMat-Bulk | PBE | relaxed; calculated density = 10.24 Mg/m³; space-group type = No. 2; E above lowest polymorph = 0 meV per atom; energy of formation from the pure elements = 110 meV per atom
1.0
-3.796 -1.621 -2.737
2.277 0.741 -1.084
3.963 -4.831 1.854
Ru Rh Cr
1 2 2
direct
0.000 0.000 0.000 Ru
0.394 0.000 0.788 Rh
0.606 0.000 0.212 Rh
0.210 0.500 0.417 Cr
0.790 0.500 0.583 Cr

---

Entry 3:
Cr6RuRh5 | Alexandria via LeMat-Bulk | PBE | relaxed; calculated density = 9.71 Mg/m³; space-group type = No. 71; energy of formation from the pure elements = -33 meV per atom
1.0
3.647 -0.003 -1.022
-2.604 6.149 -2.292
0.012 0.023 7.060
Cr Rh Ru
6 5 1
direct
0.248 0.084 0.412 Cr
0.253 0.753 0.753 Cr
0.747 0.247 0.247 Cr
0.752 0.916 0.588 Cr
0.752 0.588 0.916 Cr
0.248 0.412 0.084 Cr
0.500 0.832 0.168 Rh
0.500 0.500 0.500 Rh
0.000 0.666 0.334 Rh
0.500 0.168 0.832 Rh
0.000 0.334 0.666 Rh
0.000 0.000 0.000 Ru

---

Entry 4:
CrRu2Rh | Alexandria via LeMat-Bulk | PBE | relaxed; calculated density = 10.96 Mg/m³; space-group type = No. 12; energy of formation from the pure elements = 54 meV per atom
1.0
-2.802 -3.660 0.286
-2.200 -3.341 -2.308
3.116 -3.435 0.300
Ru Cr Rh
2 1 1
direct
0.006 0.006 0.988 Ru
0.494 0.494 0.512 Ru
0.750 0.750 0.750 Cr
0.250 0.250 0.250 Rh

---

Entry 5:
Cr2Ru3Rh2 | Alexandria via LeMat-Bulk | PBE | relaxed; calculated density = 10.58 Mg/m³; space-group type = No. 65; energy of formation from the pure elements = 153 meV per atom
1.0
-2.800 -2.527 0.222
1.752 -1.974 -0.384
2.735 0.612 9.318
Rh Cr Ru
2 2 3
direct
0.295 0.500 0.590 Rh
0.705 0.500 0.410 Rh
0.142 0.000 0.284 Cr
0.858 0.000 0.716 Cr
0.000 0.000 0.000 Ru
0.570 0.500 0.141 Ru
0.430 0.500 0.859 Ru

---

Entry 6:
Cr2RuRh2 | Alexandria via LeMat-Bulk | PBE | relaxed; calculated density = 10.11 Mg/m³; space-group type = No. 127; E above lowest polymorph = 54 meV per atom; energy of formation from the pure elements = 164 meV per atom
1.0
7.073 0.000 0.000
0.000 7.073 0.000
0.000 0.000 2.698
Rh Ru Cr
4 2 4
direct
0.179 0.679 0.500 Rh
0.679 0.821 0.500 Rh
0.321 0.179 0.500 Rh
0.821 0.321 0.500 Rh
0.000 0.000 0.000 Ru
0.500 0.500 0.000 Ru
0.886 0.614 0.000 Cr
0.114 0.386 0.000 Cr
0.386 0.886 0.000 Cr
0.614 0.114 0.000 Cr